Material: MnFeTc2
Method: DFT, meta-GGA SCAN
State: single point on PBEsol structure

Properties
Its formation enthalpy at 0 K is 0.2009 eV/atom. Its volume is 48.3 Å³/f.u. The space-group type is No. 38.

POSCAR file:
```
MnFeTc2
1.0
-1.7265 -1.1290 1.5875
2.8832 -2.2045 1.5679
1.6522 3.8874 2.4274
Mn Tc Fe
1 2 1
direct
0.6957 0.5000 0.3914
0.0829 0.0000 0.1658
0.4257 0.5000 0.8513
0.8129 0.0000 0.6258
```